A PBEsol-optimized structure of TaCuRe2. Source: the Alexandria database, functional SCAN.

Cell lengths 2.796, 3.889, 5.413 Å; angles 90.00, 90.00, 90.00 degrees
Sites, in units of the cell vectors:
1 Ta 0.000 0.000 0.000
2 Cu 0.500 0.500 0.244
3 Re 0.000 0.000 0.505
4 Re 0.500 0.500 0.724

Properties
The value obtained for the density of states at the Fermi level is 0.57 states/eV per atom. The value obtained for the formation energy is 0.05 eV/atom.